1.
First-principles (PBE) data for a relaxed Y6Er12Sc crystal, as listed in the Alexandria database.

Cell lengths 9.803, 9.803, 9.803 Å; angles 112.56, 112.56, 112.56 degrees
Fractional coordinates of all 19 atoms:
1 Y 0.367 0.684 0.684
2 Y 0.316 0.633 0.316
3 Y 0.684 0.367 0.684
4 Y 0.633 0.316 0.316
5 Y 0.684 0.684 0.367
6 Y 0.316 0.316 0.633
7 Er 0.236 0.236 0.920
8 Er 0.236 0.920 0.236
9 Er 0.883 0.500 0.117
10 Er 0.117 0.500 0.883
11 Er 0.883 0.117 0.500
12 Er 0.764 0.764 0.080
13 Er 0.117 0.883 0.500
14 Er 0.920 0.236 0.236
15 Er 0.500 0.883 0.117
16 Er 0.500 0.117 0.883
17 Er 0.080 0.764 0.764
18 Er 0.764 0.080 0.764
19 Sc 0.000 0.000 0.000

Values from the calculation:
SG: R-3m
Size of the total moment, μB/cell: 0.00
Fermi-level density of states, states/eV per cell: 25.00
Formation enthalpy at 0 K, meV per atom: 376

2.
First-principles (PBE) data for a relaxed YEr12Sc7 crystal, as listed in the Alexandria database.

Cell lengths 9.413, 9.413, 9.413 Å; angles 109.47, 109.47, 109.47 degrees
Fractional coordinates of all 20 atoms:
1 Er 0.520 0.260 0.260
2 Er 0.260 0.260 0.520
3 Er 0.740 0.480 0.740
4 Er 0.740 0.260 0.001
5 Er 0.999 0.260 0.740
6 Er 0.260 0.520 0.260
7 Er 0.260 0.001 0.740
8 Er 0.480 0.740 0.740
9 Er 0.740 0.999 0.260
10 Er 0.740 0.740 0.480
11 Er 0.001 0.740 0.260
12 Er 0.260 0.740 0.999
13 Sc 0.500 0.000 0.500
14 Sc 0.000 0.500 0.500
15 Sc 0.500 0.500 0.500
16 Sc 0.000 0.000 0.500
17 Sc 0.500 0.000 0.000
18 Sc 0.000 0.500 0.000
19 Sc 0.500 0.500 0.000
20 Y 0.000 0.000 0.000

Values from the calculation:
SG: Im-3
Energy relative to the lowest polymorph listed for this composition, meV per atom: 515
Size of the total moment, μB/cell: 0.03
Fermi-level density of states, states/eV per cell: 32.39
Formation enthalpy at 0 K, meV per atom: 690

3.
First-principles (PBE) data for a relaxed Y4ErSc5 crystal, as listed in the Alexandria database.

Cell lengths 5.602, 7.737, 7.737 Å; angles 82.47, 68.78, 68.78 degrees
Fractional coordinates of all 10 atoms:
1 Y 0.458 0.318 0.682
2 Y 0.140 0.318 0.318
3 Y 0.458 0.682 0.318
4 Y 0.777 0.682 0.682
5 Sc 0.753 0.378 0.000
6 Sc 0.694 0.000 0.000
7 Sc 0.132 0.000 0.622
8 Sc 0.753 0.000 0.378
9 Sc 0.132 0.622 0.000
10 Er 0.212 0.000 0.000

Values from the calculation:
SG: I4mm
Energy relative to the lowest polymorph listed for this composition, meV per atom: 137
Size of the total moment, μB/cell: 0.00
Fermi-level density of states, states/eV per cell: 15.11
Formation enthalpy at 0 K, meV per atom: 228

4.
First-principles (PBE) data for a relaxed YEr3Sc5 crystal, as listed in the Alexandria database.

Cell lengths 8.321, 8.321, 9.214 Å; angles 116.84, 116.84, 90.00 degrees
Fractional coordinates of all 18 atoms:
1 Sc 0.572 0.660 0.732
2 Sc 0.000 0.000 0.000
3 Sc 0.660 0.160 0.732
4 Sc 0.840 0.928 0.268
5 Sc 0.428 0.340 0.268
6 Sc 0.160 0.072 0.732
7 Sc 0.340 0.840 0.268
8 Sc 0.072 0.572 0.732
9 Sc 0.500 0.500 0.000
10 Sc 0.928 0.428 0.268
11 Er 0.381 0.881 0.000
12 Er 0.250 0.250 0.500
13 Er 0.881 0.619 0.000
14 Er 0.750 0.750 0.500
15 Er 0.619 0.119 0.000
16 Er 0.119 0.381 0.000
17 Y 0.250 0.750 0.500
18 Y 0.750 0.250 0.500

Values from the calculation:
SG: I4/mcm
Size of the total moment, μB/cell: 0.00
Fermi-level density of states, states/eV per cell: 20.63
Formation enthalpy at 0 K, meV per atom: 298